Computed, not measured: crystalline VH12SO10 at its relaxed geometry at the PBE with a Hubbard U level of DFT.

Results
Uncorrected energy in eV/atom: -5.419
M_tot in μB per formula unit: 3.000
Mass density in Mg/m³: 1.85
Symmetry: No. 15

Cell: 6.277 6.277 25.063 Å, 80.85 80.85 70.59°
Atoms (fractional coordinates):
1 V 0.063 0.937 0.750
2 V 0.937 0.063 0.250
3 V 0.000 0.000 0.000
4 V 0.000 0.000 0.500
5 H 0.341 0.996 0.655
6 H 0.659 0.004 0.345
7 H 0.004 0.659 0.845
8 H 0.996 0.341 0.155
9 H 0.455 0.702 0.800
10 H 0.545 0.298 0.200
11 H 0.298 0.545 0.700
12 H 0.702 0.455 0.300
13 H 0.706 0.359 0.941
14 H 0.294 0.641 0.059
15 H 0.641 0.294 0.559
16 H 0.359 0.706 0.441
17 H 0.327 0.924 0.909
18 H 0.673 0.076 0.091
19 H 0.076 0.673 0.591
20 H 0.924 0.327 0.409
21 H 0.687 0.756 0.006
22 H 0.313 0.244 0.994
23 H 0.244 0.313 0.494
24 H 0.756 0.687 0.506
25 H 0.785 0.885 0.847
26 H 0.215 0.115 0.153
27 H 0.115 0.215 0.653
28 H 0.885 0.785 0.347
29 H 0.351 0.963 0.420
30 H 0.649 0.037 0.580
31 H 0.037 0.649 0.080
32 H 0.963 0.351 0.920
33 H 0.309 0.721 0.569
34 H 0.691 0.279 0.431
35 H 0.279 0.691 0.931
36 H 0.721 0.309 0.069
37 H 0.661 0.925 0.950
38 H 0.339 0.075 0.050
39 H 0.075 0.339 0.550
40 H 0.925 0.661 0.450
41 H 0.676 0.177 0.699
42 H 0.324 0.823 0.301
43 H 0.823 0.324 0.801
44 H 0.177 0.676 0.199
45 H 0.508 0.913 0.762
46 H 0.492 0.087 0.238
47 H 0.087 0.492 0.738
48 H 0.913 0.508 0.262
49 H 0.742 0.921 0.688
50 H 0.258 0.079 0.312
51 H 0.079 0.258 0.812
52 H 0.921 0.742 0.188
53 S 0.427 0.312 0.877
54 S 0.573 0.688 0.123
55 S 0.688 0.573 0.623
56 S 0.312 0.427 0.377
57 O 0.210 0.859 0.929
58 O 0.790 0.141 0.071
59 O 0.141 0.790 0.571
60 O 0.859 0.210 0.429
61 O 0.554 0.418 0.831
62 O 0.446 0.582 0.169
63 O 0.582 0.446 0.669
64 O 0.418 0.554 0.331
65 O 0.212 0.093 0.677
66 O 0.788 0.907 0.323
67 O 0.907 0.788 0.823
68 O 0.093 0.212 0.177
69 O 0.635 0.813 0.635
70 O 0.365 0.187 0.365
71 O 0.187 0.365 0.865
72 O 0.813 0.635 0.135
73 O 0.538 0.059 0.884
74 O 0.462 0.941 0.116
75 O 0.941 0.462 0.616
76 O 0.059 0.538 0.384
77 O 0.323 0.860 0.452
78 O 0.677 0.140 0.548
79 O 0.140 0.677 0.048
80 O 0.860 0.323 0.952
81 O 0.385 0.856 0.782
82 O 0.615 0.144 0.218
83 O 0.144 0.615 0.718
84 O 0.856 0.385 0.282
85 O 0.755 0.857 0.980
86 O 0.245 0.143 0.020
87 O 0.143 0.245 0.520
88 O 0.857 0.755 0.480
89 O 0.735 0.017 0.716
90 O 0.265 0.983 0.284
91 O 0.983 0.265 0.784
92 O 0.017 0.735 0.216
93 O 0.425 0.402 0.929
94 O 0.575 0.598 0.071
95 O 0.598 0.575 0.571
96 O 0.402 0.425 0.429